(1)
Compound: AlOF3
Source: Alexandria
Functional: PBEsol
Structure: optimized geometry

Lattice parameters (Å, degrees): 3.6513 3.6513 3.6513 90.00 90.00 90.00
Closest atoms and distances in Å follow each position.
Space group Pm-3m (No. 221)
One atom of each set of equivalent atoms:
1 Al 0.0000 0.0000 0.0000  6 F 1.83
2 O 0.5000 0.5000 0.5000  12 F 2.58
3 F 0.0000 0.0000 0.5000  2 Al 1.83

Computed properties:
As for the calculated total energy: -5.13 eV per atom.


(2)
Compound: SrCu2Pt
Source: Alexandria
Functional: PBEsol
Structure: optimized geometry

Lattice parameters (Å, degrees): 4.2750 4.2750 15.3202 90.00 90.00 120.00
Closest atoms and distances in Å follow each position.
Space group R3m (No. 160, hexagonal axes)
One atom of each set of equivalent atoms:
1 Sr 0.0000 0.0000 0.0000  1 Cu 2.85, 1 Pt 2.96
2 Cu 0.0000 0.0000 0.1863  3 Cu 2.50, 3 Pt 2.57
3 Cu 0.0000 0.0000 0.4958  3 Pt 2.49, 3 Cu 2.50
4 Pt 0.0000 0.0000 0.8065  6 Cu 2.49-2.57

Computed properties:
As for the calculated total energy: -4.67 eV per atom. The calculation puts the calculated formation energy at -0.3017 eV/atom. The distance to the lowest polymorph of the same formula comes out at 0 meV per atom.


(3)
Compound: CuTe2I
Source: Alexandria
Functional: PBEsol
Structure: optimized geometry

Lattice parameters (Å, degrees): 8.5993 4.8961 12.6837 90.00 116.01 90.00
Closest atoms and distances in Å follow each position.
Space group P2_1/c (No. 14)
One atom of each set of equivalent atoms:
1 Cu 0.1923 0.1329 0.2513  2 Te 2.52-2.53, 2 I 2.59-2.62
2 Te 0.2776 0.0096 0.6429  1 Cu 2.52, 1 Te 2.79
3 Te 0.4222 0.7201 0.8585  1 Cu 2.53, 1 Te 2.79
4 I 0.0934 0.1148 0.8905  2 Cu 2.59-2.62

Computed properties:
As for the calculated total energy: -3.37 eV per atom.


(4)
Compound: GeBiOs2Au
Source: Alexandria
Functional: PBEsol
Structure: optimized geometry

Lattice parameters (Å, degrees): 4.8959 4.8959 5.2659 90.00 90.00 90.00
Closest atoms and distances in Å follow each position.
Space group P4/mmm (No. 123)
One atom of each set of equivalent atoms:
1 Ge 0.0000 0.0000 0.0000  4 Bi 3.46, 8 Os 3.60
2 Bi 0.5000 0.5000 0.0000  2 Au 2.63
3 Os 0.0000 0.5000 0.5000  2 Au 2.45
4 Au 0.5000 0.5000 0.5000  4 Os 2.45, 2 Bi 2.63

Computed properties:
As for the calculated total energy: -5.15 eV per atom. The calculation puts the calculated formation energy at 2.3661 eV/atom.


(5)
Compound: LaHg2Br
Source: Alexandria
Functional: PBEsol
Structure: optimized geometry

Lattice parameters (Å, degrees): 3.7047 3.7047 27.9117 90.00 90.00 120.00
Closest atoms and distances in Å follow each position.
Space group R-3m (No. 166, hexagonal axes)
One atom of each set of equivalent atoms:
1 La 0.0000 0.0000 0.0000  6 Hg 3.28
2 Hg 0.0000 0.0000 0.2441  3 Br 3.04, 3 La 3.28
3 Br 0.0000 0.0000 0.5000  6 Hg 3.04

Computed properties:
As for the calculated total energy: -2.52 eV per atom. The distance to the lowest polymorph of the same formula comes out at 328 meV per atom.


(6)
Compound: Mg2AlCl
Source: Alexandria
Functional: PBEsol
Structure: optimized geometry

Lattice parameters (Å, degrees): 3.1360 5.2292 10.2454 90.00 90.00 90.00
Closest atoms and distances in Å follow each position.
Space group Imm2 (No. 44)
One atom of each set of equivalent atoms:
1 Mg 0.0000 0.0000 0.0000  2 Cl 2.56
2 Mg 0.0000 0.5000 0.2367  2 Al 3.06, 4 Cl 3.07, 4 Mg 3.12-3.14
3 Al 0.0000 0.0000 0.4801  6 Mg 3.06, 2 Al 3.14, 2 Cl 3.29
4 Cl 0.0000 0.5000 0.6980  2 Mg 2.56

Computed properties:
As for the calculated total energy: -2.65 eV per atom. The distance to the lowest polymorph of the same formula comes out at 171 meV per atom.


(7)
Compound: ZrMnIn2
Source: Alexandria
Functional: PBEsol
Structure: optimized geometry

Lattice parameters (Å, degrees): 4.1609 4.1609 9.0660 90.00 90.00 90.00
Closest atoms and distances in Å follow each position.
Space group I-4m2 (No. 119)
One atom of each set of equivalent atoms:
1 Zr 0.0000 0.0000 0.0000  8 In 2.94-3.08, 4 Mn 3.08
2 Mn 0.0000 0.5000 0.7500  8 In 2.94-3.08, 4 Zr 3.08
3 In 0.0000 0.0000 0.5000  4 Zr 2.94, 4 Mn 3.08, 4 In 3.08
4 In 0.0000 0.5000 0.2500  4 Mn 2.94, 4 Zr 3.08, 4 In 3.08

Computed properties:
As for the calculated total energy: -6.20 eV per atom. The calculation puts the calculated formation energy at 0.0058 eV/atom.


(8)
Compound: HfTi2OsRu
Source: Alexandria
Functional: PBEsol
Structure: optimized geometry

Lattice parameters (Å, degrees): 4.5836 4.5836 4.4883 90.00 90.00 90.00
Closest atoms and distances in Å follow each position.
Space group P4/mmm (No. 123)
One atom of each set of equivalent atoms:
1 Hf 0.0000 0.0000 0.0000  2 Ru 2.24, 4 Ti 2.29
2 Ti 0.0000 0.5000 0.0000  2 Hf 2.29
3 Os 0.5000 0.5000 0.5000  8 Ti 3.21, 4 Ru 3.24
4 Ru 0.0000 0.0000 0.5000  2 Hf 2.24

Computed properties:
As for the calculated total energy: -8.14 eV per atom. The calculation puts the calculated formation energy at 1.7654 eV/atom.


(9)
Compound: NiGe2Cl
Source: Alexandria
Functional: PBEsol
Structure: optimized geometry

Lattice parameters (Å, degrees): 6.3601 6.3601 6.3601 90.00 90.00 90.00
Closest atoms and distances in Å follow each position.
Space group Fm-3m (No. 225)
One atom of each set of equivalent atoms:
1 Ni 0.0000 0.0000 0.0000  8 Ge 2.75
2 Ge 0.2500 0.2500 0.2500  4 Cl 2.75, 4 Ni 2.75
3 Cl 0.0000 0.0000 0.5000  8 Ge 2.75

Computed properties:
As for the calculated total energy: -4.16 eV per atom.


(10)
Compound: CaTl2P
Source: Alexandria
Functional: PBEsol
Structure: optimized geometry

Lattice parameters (Å, degrees): 5.9209 6.0107 11.5212 90.00 90.00 90.00
Closest atoms and distances in Å follow each position.
Space group Fmmm (No. 69)
One atom of each set of equivalent atoms:
1 Ca 0.0000 0.0000 0.0000  4 P 2.96-3.01, 4 Tl 3.24
2 Tl 0.2500 0.0000 0.2500  4 Tl 2.96-3.01, 2 Ca 3.24, 2 P 3.24
3 P 0.0000 0.0000 0.5000  4 Ca 2.96-3.01, 4 Tl 3.24

Computed properties:
As for the calculated total energy: -3.54 eV per atom. The calculation puts the calculated formation energy at -0.2451 eV/atom. The distance to the lowest polymorph of the same formula comes out at 147 meV per atom.


(11)
Compound: TiTe2Pd
Source: Alexandria
Functional: PBEsol
Structure: optimized geometry

Lattice parameters (Å, degrees): 6.8205 6.8205 6.8205 90.00 90.00 90.00
Closest atoms and distances in Å follow each position.
Space group Fm-3m (No. 225)
One atom of each set of equivalent atoms:
1 Ti 0.0000 0.0000 0.0000  8 Te 2.95
2 Te 0.2500 0.2500 0.2500  4 Pd 2.95, 4 Ti 2.95
3 Pd 0.0000 0.0000 0.5000  8 Te 2.95

Computed properties:
As for the calculated total energy: -5.59 eV per atom. The distance to the lowest polymorph of the same formula comes out at 0 meV per atom.


(12)
Compound: HfTlRu2F
Source: Alexandria
Functional: PBEsol
Structure: optimized geometry

Lattice parameters (Å, degrees): 4.9486 4.9486 4.1663 90.00 90.00 90.00
Closest atoms and distances in Å follow each position.
Space group P4/mmm (No. 123)
One atom of each set of equivalent atoms:
1 Hf 0.0000 0.0000 0.0000  8 Ru 3.23, 4 F 3.50
2 Tl 0.5000 0.5000 0.5000  2 F 2.08
3 Ru 0.0000 0.5000 0.5000  2 Tl 2.47
4 F 0.5000 0.5000 0.0000  2 Tl 2.08

Computed properties:
As for the calculated total energy: -5.95 eV per atom.


(13)
Compound: SrSbAs3
Source: Alexandria
Functional: PBEsol
Structure: optimized geometry

Lattice parameters (Å, degrees): 5.2491 5.2491 5.2491 90.00 90.00 90.00
Closest atoms and distances in Å follow each position.
Space group Pm-3m (No. 221)
One atom of each set of equivalent atoms:
1 Sr 0.0000 0.0000 0.0000  12 As 3.71
2 Sb 0.5000 0.5000 0.5000  6 As 2.62
3 As 0.0000 0.5000 0.5000  2 Sb 2.62

Computed properties:
As for the calculated total energy: -4.18 eV per atom.


(14)
Compound: YTlSeN2
Source: Alexandria
Functional: PBEsol
Structure: optimized geometry

Lattice parameters (Å, degrees): 4.1902 4.1902 5.5066 90.00 90.00 90.00
Closest atoms and distances in Å follow each position.
Space group P4/mmm (No. 123)
One atom of each set of equivalent atoms:
1 Y 0.0000 0.0000 0.0000  4 Se 2.96
2 Tl 0.5000 0.5000 0.5000  4 N 2.10
3 Se 0.5000 0.5000 0.0000  2 Tl 2.75, 4 Y 2.96
4 N 0.0000 0.5000 0.5000  2 Tl 2.10

Computed properties:
As for the calculated total energy: -5.27 eV per atom.


(15)
Compound: PNCl2F
Source: Alexandria
Functional: PBEsol
Structure: optimized geometry

Lattice parameters (Å, degrees): 5.2596 5.2596 3.5535 90.00 90.00 90.00
Closest atoms and distances in Å follow each position.
Space group P4/mmm (No. 123)
One atom of each set of equivalent atoms:
1 P 0.0000 0.0000 0.0000  2 F 1.78
2 N 0.5000 0.5000 0.0000  8 Cl 3.17, 2 N 3.55
3 Cl 0.0000 0.5000 0.5000  2 F 2.63
4 F 0.0000 0.0000 0.5000  2 P 1.78

Computed properties:
As for the calculated total energy: -2.85 eV per atom. The distance to the lowest polymorph of the same formula comes out at 400 meV per atom.


(16)
Compound: MoAs2
Source: Alexandria
Functional: PBEsol
Structure: optimized geometry

Lattice parameters (Å, degrees): 9.2787 3.2122 6.6974 90.00 104.27 90.00
Closest atoms and distances in Å follow each position.
Space group C2/m (No. 12)
One atom of each set of equivalent atoms:
1 Mo 0.0350 0.0000 0.2898  9 As 2.63-2.92
2 As 0.1394 0.5000 0.0475  3 As 2.51-2.80, 2 Mo 2.63
3 As 0.1581 0.5000 0.5961  5 Mo 2.63-2.76, 3 As 2.87-2.90

Computed properties:
As for the calculated total energy: -7.38 eV per atom. The calculation puts the calculated formation energy at -0.0551 eV/atom.


(17)
Compound: CrHg2Ir
Source: Alexandria
Functional: PBEsol
Structure: optimized geometry

Lattice parameters (Å, degrees): 9.3059 3.0244 4.9114 90.00 101.93 90.00
Closest atoms and distances in Å follow each position.
Space group C2/m (No. 12)
One atom of each set of equivalent atoms:
1 Cr 0.0000 0.0000 0.0000  6 Hg 2.83-2.85, 4 Ir 2.88, 2 Cr 3.02
2 Hg 0.2494 0.5000 0.2497  3 Cr 2.83-2.85, 3 Ir 2.84, 6 Hg 2.88-3.02
3 Ir 0.0000 0.5000 0.5000  6 Hg 2.84, 4 Cr 2.88, 2 Ir 3.02

Computed properties:
As for the calculated total energy: -4.85 eV per atom. The calculation puts the calculated formation energy at 0.4482 eV/atom. The distance to the lowest polymorph of the same formula comes out at 0 meV per atom.


(18)
Compound: CrAgW2
Source: Alexandria
Functional: PBEsol
Structure: optimized geometry

Lattice parameters (Å, degrees): 2.7266 2.7266 28.0968 90.00 90.00 120.00
Closest atoms and distances in Å follow each position.
Space group R-3m (No. 166, hexagonal axes)
One atom of each set of equivalent atoms:
1 Cr 0.0000 0.0000 0.0000  6 W 2.71, 6 Cr 2.73
2 Ag 0.0000 0.0000 0.5000  6 Ag 2.73, 6 W 2.94
3 W 0.0000 0.0000 0.2550  3 Cr 2.71, 6 W 2.73, 3 Ag 2.94

Computed properties:
As for the calculated total energy: -9.73 eV per atom. The calculation puts the calculated formation energy at 0.5668 eV/atom. The distance to the lowest polymorph of the same formula comes out at 43 meV per atom.


(19)
Compound: SiRhBr2
Source: Alexandria
Functional: PBEsol
Structure: optimized geometry

Lattice parameters (Å, degrees): 6.6081 6.6081 6.6081 90.00 90.00 90.00
Closest atoms and distances in Å follow each position.
Space group F-43m (No. 216)
One atom of each set of equivalent atoms:
1 Si 0.0000 0.0000 0.0000  4 Br 2.86, 4 Rh 2.86
2 Rh 0.2500 0.2500 0.2500  4 Br 2.86, 4 Si 2.86
3 Br 0.0000 0.0000 0.5000  4 Br 2.86, 4 Rh 2.86
4 Br 0.2500 0.2500 0.7500  4 Si 2.86, 4 Br 2.86

Computed properties:
As for the calculated total energy: -3.76 eV per atom. The distance to the lowest polymorph of the same formula comes out at 233 meV per atom.


(20)
Compound: K2HBr
Source: Alexandria
Functional: PBEsol
Structure: optimized geometry

Lattice parameters (Å, degrees): 7.5714 7.5714 8.4564 90.00 90.00 90.00
Closest atoms and distances in Å follow each position.
Space group I-42d (No. 122)
One atom of each set of equivalent atoms:
1 K 0.1891 0.7500 0.1250  2 H 2.60
2 H 0.0000 0.0000 0.0000  4 K 2.60
3 Br 0.0000 0.0000 0.5000  4 K 3.20

Computed properties:
As for the calculated total energy: -2.75 eV per atom. The distance to the lowest polymorph of the same formula comes out at 0 meV per atom.


(21)
Compound: Ge2TeSe
Source: Alexandria
Functional: PBEsol
Structure: optimized geometry

Lattice parameters (Å, degrees): 4.0575 4.0575 19.7806 90.00 90.00 120.00
Closest atoms and distances in Å follow each position.
Space group R-3m (No. 166, hexagonal axes)
One atom of each set of equivalent atoms:
1 Ge 0.0000 0.0000 0.2444  3 Se 2.80, 3 Te 2.93
2 Te 0.0000 0.0000 0.0000  6 Ge 2.93
3 Se 0.0000 0.0000 0.5000  6 Ge 2.80

Computed properties:
As for the calculated total energy: -4.47 eV per atom.


(22)
Compound: La3GeOs
Source: Alexandria
Functional: PBEsol
Structure: optimized geometry

Lattice parameters (Å, degrees): 5.4045 5.4045 5.4045 90.00 90.00 90.00
Closest atoms and distances in Å follow each position.
Space group Pm-3m (No. 221)
One atom of each set of equivalent atoms:
1 La 0.0000 0.0000 0.5000  2 Os 2.70
2 Ge 0.5000 0.5000 0.5000  12 La 3.82
3 Os 0.0000 0.0000 0.0000  6 La 2.70

Computed properties:
As for the calculated total energy: -6.73 eV per atom. The calculation puts the calculated formation energy at -0.0952 eV/atom.


(23)
Compound: Bi2O3
Source: Alexandria
Functional: PBEsol
Structure: optimized geometry

Lattice parameters (Å, degrees): 7.7618 7.7618 5.5191 90.00 90.00 90.00
Closest atoms and distances in Å follow each position.
Space group P-42_1c (No. 114)
One atom of each set of equivalent atoms:
1 Bi 0.0202 0.2570 0.2728  4 O 2.14-2.38
2 O 0.0000 0.5000 0.0911  2 Bi 2.14
3 O 0.1892 0.2108 0.9670  3 Bi 2.17-2.38

Computed properties:
As for the calculated total energy: -6.07 eV per atom.


(24)
Compound: LaHf3Ag
Source: Alexandria
Functional: PBEsol
Structure: optimized geometry

Lattice parameters (Å, degrees): 5.0454 5.0454 5.0454 90.00 90.00 90.00
Closest atoms and distances in Å follow each position.
Space group Pm-3m (No. 221)
One atom of each set of equivalent atoms:
1 La 0.0000 0.0000 0.0000  6 Hf 2.52
2 Hf 0.0000 0.0000 0.5000  2 La 2.52
3 Ag 0.5000 0.5000 0.5000  12 Hf 3.57

Computed properties:
As for the calculated total energy: -6.40 eV per atom. The calculation puts the calculated formation energy at 1.6362 eV/atom.


(25)
Compound: NbGeRh
Source: Alexandria
Functional: PBEsol
Structure: optimized geometry

Lattice parameters (Å, degrees): 6.4218 3.8280 7.4037 90.00 90.00 90.00
Closest atoms and distances in Å follow each position.
Space group Pnma (No. 62)
One atom of each set of equivalent atoms:
1 Nb 0.0280 0.2500 0.1791  5 Ge 2.69-2.76, 5 Rh 2.92-2.98
2 Ge 0.2399 0.7500 0.3759  4 Rh 2.43-2.50, 3 Nb 2.69
3 Rh 0.1431 0.2500 0.5610  4 Ge 2.43-2.50

Computed properties:
As for the calculated total energy: -8.63 eV per atom. The calculation puts the calculated formation energy at -0.6653 eV/atom.


(26)
Compound: MnP4O12
Source: Alexandria
Functional: PBEsol
Structure: optimized geometry

Lattice parameters (Å, degrees): 7.0069 8.6492 8.2861 90.00 125.32 90.00
Closest atoms and distances in Å follow each position.
Space group P2_1/c (No. 14)
One atom of each set of equivalent atoms:
1 Mn 0.0000 0.0000 0.0000  6 O 1.86-1.89
2 P 0.2097 0.2402 0.3506  4 O 1.50-1.59
3 P 0.4554 0.0663 0.7452  4 O 1.46-1.62
4 O 0.0207 0.1692 0.1533  1 P 1.52
5 O 0.1254 0.1171 0.8947  1 P 1.50
6 O 0.2953 0.5726 0.7003  1 P 1.53
7 O 0.3021 0.1131 0.5132  2 P 1.56-1.62
8 O 0.3611 0.5746 0.2715  1 P 1.46
9 O 0.4264 0.2171 0.8456  2 P 1.59-1.62

Computed properties:
As for the calculated total energy: -7.60 eV per atom. The distance to the lowest polymorph of the same formula comes out at 7 meV per atom.